Record 1
Crystalline Rb3YZr at its relaxed geometry, computed with PBE.

The structure in CIF format:
```
data_Rb3YZr
_chemical_formula_sum 'Rb3 Y1 Zr1'
_cell_length_a 6.900
_cell_length_b 6.900
_cell_length_c 6.900
_cell_angle_alpha 90.00
_cell_angle_beta 90.00
_cell_angle_gamma 90.00
_space_group_name_H-M_alt 'P m -3 m'
_space_group_IT_number 221
_space_group_name_Hall '-P 4 2 3'
loop_
_atom_site_label
_atom_site_fract_x
_atom_site_fract_y
_atom_site_fract_z
Rb1 0.000 0.000 0.500
Y1 0.500 0.500 0.500
Zr1 0.000 0.000 0.000
```

Output
energy above the most stable polymorph in this dataset	0	meV per atom
density	2.21	g/cm³
E_form	7.5	eV per formula unit


Record 2
Crystalline RbYZr at its relaxed geometry, computed with PBE.

The structure in CIF format:
```
data_RbYZr
_chemical_formula_sum 'Rb2 Y2 Zr2'
_cell_length_a 6.1253
_cell_length_b 6.1253
_cell_length_c 6.5796
_cell_angle_alpha 90.00
_cell_angle_beta 90.00
_cell_angle_gamma 120.00
_space_group_name_H-M_alt 'P 63/m m c'
_space_group_IT_number 194
_space_group_name_Hall '-P 6c 2c'
loop_
_atom_site_label
_atom_site_fract_x
_atom_site_fract_y
_atom_site_fract_z
Rb1 0.0000 0.0000 0.0000
Y1 0.3333 0.6667 0.2500
Zr1 0.3333 0.6667 0.7500
```

Output
energy above the most stable polymorph in this dataset	721	meV per atom
density	4.13	g/cm³
E_form	3.1	eV per formula unit


Record 3
Crystalline RbYZr at its relaxed geometry, computed with PBE.

The structure in CIF format:
```
data_RbYZr
_chemical_formula_sum 'Rb4 Y4 Zr4'
_cell_length_a 14.624
_cell_length_b 6.288
_cell_length_c 5.490
_cell_angle_alpha 90.00
_cell_angle_beta 90.00
_cell_angle_gamma 90.00
_space_group_name_H-M_alt 'P n m a'
_space_group_IT_number 62
loop_
_space_group_symop_operation_xyz
'x,y,z'
'-x,-y,-z'
'-x+1/2,-y,z+1/2'
'x+1/2,y,-z+1/2'
'x+1/2,-y+1/2,-z+1/2'
'-x+1/2,y+1/2,z+1/2'
'-x,y+1/2,-z'
'x,-y+1/2,z'
loop_
_atom_site_label
_atom_site_fract_x
_atom_site_fract_y
_atom_site_fract_z
Rb1 0.234 0.250 0.005
Y1 0.000 0.000 0.500
Zr1 0.020 0.750 0.000
```

Output
energy above the most stable polymorph in this dataset	452	meV per atom
density	3.49	g/cm³
E_form	2.3	eV per formula unit


Record 4
Crystalline RbYZr at its relaxed geometry, computed with PBE.

The structure in CIF format:
```
data_RbYZr
_chemical_formula_sum 'Rb4 Y4 Zr4'
_cell_length_a 8.162
_cell_length_b 8.162
_cell_length_c 8.162
_cell_angle_alpha 90.00
_cell_angle_beta 90.00
_cell_angle_gamma 90.00
_space_group_name_H-M_alt 'F -4 3 m'
_space_group_IT_number 216
_space_group_name_Hall 'F -4 2 3'
loop_
_atom_site_label
_atom_site_fract_x
_atom_site_fract_y
_atom_site_fract_z
Rb1 0.000 0.000 0.000
Y1 0.000 0.000 0.500
Zr1 0.250 0.250 0.750
```

Output
energy above the most stable polymorph in this dataset	1180	meV per atom
density	3.24	g/cm³
E_form	4.4	eV per formula unit